{"formula": "KZr2MnGa", "functional": "PBE-GGA", "state": "relaxed", "lattice_angstrom": [[-0.139, 0.605, 4.766], [4.385, -0.620, 0.206], [0.695, 4.721, -0.579]], "species": ["Zr", "Ga", "Mn", "Zr", "K"], "fractional_positions": [[0.500, 0.000, 0.000], [0.500, 0.500, 0.500], [0.000, 0.500, 0.000], [0.000, 0.000, 0.500], [0.000, 0.000, 0.000]], "final_energy_ev_per_fu": -20.692, "delta_e_f_ev_per_atom": 1.940}